1.
Below is a relaxed structure of HoGa5Au7, with properties calculated at the PBE-GGA level.

Computed properties:
Its total energy is -3.562 eV/atom. The calculation puts the formation energy at -0.281 eV per atom. Its density of states at the Fermi level is 6.8 states/eV/cell.

abc: 5.6384 9.4086 9.0964
angles: 90.00 90.00 90.00
Last column: nearest neighbours and their distance in Å.
Space group Imm2 (No. 44)
One atom of each set of equivalent atoms:
Ho  0.0000  0.0000  0.0000 (multiplicity 2)  4 Au 2.90-3.09
Ga  0.0000  0.5000  0.2428 (multiplicity 2)  6 Au 2.73-2.87, 4 Ga 2.81
Ga  0.2430  0.2558  0.7356 (multiplicity 8)  7 Au 2.68-2.84, 3 Ga 2.74-2.90
Au  0.0000  0.0000  0.3240 (multiplicity 2)  4 Ga 2.83, 1 Ho 2.95, 2 Au 2.97
Au  0.0000  0.0000  0.6815 (multiplicity 2)  6 Ga 2.81-2.87, 1 Ho 2.90
Au  0.0000  0.3131  0.4724 (multiplicity 4)  5 Ga 2.68-2.81, 1 Au 2.87
Au  0.0000  0.3284  0.9982 (multiplicity 4)  5 Ga 2.72-2.84, 1 Au 2.99
Au  0.0000  0.5000  0.7215 (multiplicity 2)  4 Ga 2.68, 6 Au 2.87-2.99



2.
Below is a relaxed structure of Ho4Ga3Au, with properties calculated at the PBE-GGA level.

Computed properties:
Its total energy is -4.501 eV/atom. The calculation puts the formation energy at -0.667 eV per atom. Its density of states at the Fermi level is 5.9 states/eV/cell.

abc: 3.9909 4.2878 11.0776
angles: 90.00 90.00 90.00
Last column: nearest neighbours and their distance in Å.
Space group Pmm2 (No. 25)
One atom of each set of equivalent atoms:
Ho  0.0000  0.0000  0.0000 (multiplicity 1)  5 Ga 2.99-3.16, 2 Au 3.16
Ho  0.0000  0.5000  0.2799 (multiplicity 1)  4 Au 3.00, 3 Ga 3.15-3.19
Ho  0.5000  0.0000  0.4947 (multiplicity 1)  6 Ga 3.03-3.15, 1 Au 3.03
Ho  0.5000  0.5000  0.7840 (multiplicity 1)  7 Ga 3.00-3.15
Ga  0.0000  0.0000  0.7148 (multiplicity 1)  2 Ga 2.72, 4 Ho 3.03
Ga  0.0000  0.5000  0.5643 (multiplicity 1)  2 Ga 2.72, 4 Ho 3.03
Ga  0.5000  0.5000  0.0548 (multiplicity 1)  2 Au 2.83, 5 Ho 2.99-3.00
Au  0.5000  0.0000  0.2212 (multiplicity 1)  2 Ga 2.83, 7 Ho 3.00-3.16



3.
Below is a relaxed structure of HoGaAu2, with properties calculated at the PBE-GGA level.

Computed properties:
Its total energy is -4.212 eV/atom. The calculation puts the formation energy at -0.673 eV per atom. Its density of states at the Fermi level is 8.3 states/eV/cell.

abc: 8.0095 7.2338 5.5294
angles: 90.00 90.00 90.00
Last column: nearest neighbours and their distance in Å.
Space group Pnma (No. 62)
One atom of each set of equivalent atoms:
Ho  0.0521  0.2500  0.1457 (multiplicity 4)  6 Au 3.00-3.17, 3 Ga 3.03-3.19
Ga  0.1034  0.7500  0.3549 (multiplicity 4)  6 Au 2.62-2.75
Au  0.1846  0.0449  0.6140 (multiplicity 8)  3 Ga 2.62-2.75



4.
Below is a relaxed structure of Ho3Ga7Au2, with properties calculated at the PBE-GGA level.

Computed properties:
Its total energy is -4.022 eV/atom. The calculation puts the formation energy at -0.565 eV per atom. Its density of states at the Fermi level is 4.7 states/eV/cell.

abc: 4.2285 4.2008 13.7327
angles: 90.00 98.79 90.00
Last column: nearest neighbours and their distance in Å.
Space group P2/m (No. 10)
One atom of each set of equivalent atoms:
Ho  0.0000  0.0000  0.0000 (multiplicity 1)  12 Ga 2.98-3.02
Ho  0.3156  0.5000  0.6306 (multiplicity 2)  9 Ga 3.18-3.56, 4 Au 3.26-3.27
Ga  0.0811  0.5000  0.1583 (multiplicity 2)  2 Au 2.60
Ga  0.2277  0.0000  0.4550 (multiplicity 2)  2 Ga 2.44, 1 Au 2.49
Ga  0.4208  0.0000  0.8412 (multiplicity 2)  2 Au 2.61
Ga  0.5000  0.5000  0.0000 (multiplicity 1)  4 Ho 2.98, 8 Ga 3.01-3.02
Au  0.1340  0.0000  0.2716 (multiplicity 2)  5 Ga 2.49-2.61



5.
Below is a relaxed structure of Ho4Ga16Au3, with properties calculated at the PBE-GGA level.

Computed properties:
Its total energy is -3.739 eV/atom. The calculation puts the formation energy at -0.409 eV per atom. Its density of states at the Fermi level is 9.2 states/eV/cell.

abc: 6.3597 6.3597 11.0473
angles: 90.00 90.00 90.00
Last column: nearest neighbours and their distance in Å.
Space group P4/mmm (No. 123)
One atom of each set of equivalent atoms:
Ho  0.0000  0.5000  0.1870 (multiplicity 4)  12 Ga 3.03-3.23
Ga  0.0000  0.0000  0.2016 (multiplicity 2)  8 Ga 2.87-2.90, 4 Ho 3.18
Ga  0.2065  0.2065  0.0000 (multiplicity 4)  4 Ga 2.63-2.90, 1 Au 2.64
Ga  0.2423  0.2423  0.3703 (multiplicity 8)  2 Au 2.67, 3 Ga 2.73-2.87
Ga  0.5000  0.5000  0.2394 (multiplicity 2)  1 Au 2.64, 4 Ga 2.73
Au  0.0000  0.5000  0.5000 (multiplicity 2)  8 Ga 2.67
Au  0.5000  0.5000  0.0000 (multiplicity 1)  6 Ga 2.64



6.
Below is a relaxed structure of HoGaAu4, with properties calculated at the PBE-GGA level.

Computed properties:
As for the offset from the most stable computed form: 0.037 eV per formula unit. Its total energy is -3.922 eV/atom. The calculation puts the formation energy at -0.469 eV per atom. Its density of states at the Fermi level is 2.0 states/eV/cell.

abc: 3.6759 3.7201 8.7923
angles: 82.91 89.94 89.98
Last column: nearest neighbours and their distance in Å.
Space group P-1 (No. 2)
One atom of each set of equivalent atoms:
Ho  0.0000  0.0000  0.0000 (multiplicity 1)  10 Au 3.00-3.03
Ga  0.5000  0.5000  0.5000 (multiplicity 1)  6 Au 2.67-2.88
Au  0.0008  0.0820  0.6562 (multiplicity 2)  2 Ga 2.67-2.68, 3 Au 2.89-2.95
Au  0.4993  0.4487  0.1764 (multiplicity 2)  1 Ga 2.88, 5 Au 2.95-3.08, 4 Ho 3.03